1.
## BeZn2Sb (GGA-PBE)

Data for an optimized crystal structure of BeZn2Sb.

Cell and atoms, written as POSCAR:
```
BeZn2Sb
1.0
6.5579 0.0000 0.0000
0.0000 6.5579 0.0000
0.0000 0.0000 6.5579
Be Zn Sb
4 8 4
direct
0.0000 0.0000 0.0000 Be
0.0000 0.5000 0.5000 Be
0.5000 0.0000 0.5000 Be
0.5000 0.5000 0.0000 Be
0.0000 0.0000 0.5000 Zn
0.0000 0.5000 0.0000 Zn
0.2500 0.2500 0.7500 Zn
0.2500 0.7500 0.2500 Zn
0.5000 0.0000 0.0000 Zn
0.5000 0.5000 0.5000 Zn
0.7500 0.2500 0.2500 Zn
0.7500 0.7500 0.7500 Zn
0.2500 0.2500 0.2500 Sb
0.2500 0.7500 0.7500 Sb
0.7500 0.2500 0.7500 Sb
0.7500 0.7500 0.2500 Sb
```

Computed properties:
Calculated density: 6.16 g/cm³
Calculated total energy: -2.136 eV per atom
Space-group type: F-43m (216)



2.
## TmScBe2Si2 (GGA-PBE)

Data for an optimized crystal structure of TmScBe2Si2.

Cell and atoms, written as POSCAR:
```
TmScBe2Si2
1.0
3.8026 0.0000 0.0000
-1.9013 3.2931 0.0000
0.0000 0.0000 7.6153
Tm Sc Be Si
1 1 2 2
direct
0.0000 0.0000 0.0000 Tm
0.0000 0.0000 0.5000 Sc
0.3333 0.6667 0.7387 Be
0.6667 0.3333 0.2613 Be
0.3333 0.6667 0.2610 Si
0.6667 0.3333 0.7390 Si
```

Computed properties:
Spin magnetization: 0.00 μB/cell
Calculated density: 5.02 g/cm³
Calculated total energy: -5.481 eV per atom
Space-group type: P-3m1 (164)



3.
## ZrScBe2Si2 (GGA-PBE)

Data for an optimized crystal structure of ZrScBe2Si2.

Cell and atoms, written as POSCAR:
```
ZrScBe2Si2
1.0
3.7447 0.0000 0.0000
-1.8723 3.2430 0.0000
0.0000 0.0000 7.2950
Zr Sc Be Si
1 1 2 2
direct
0.0000 0.0000 0.0000 Zr
0.0000 0.0000 0.5000 Sc
0.3333 0.6667 0.7542 Be
0.6667 0.3333 0.2458 Be
0.3333 0.6667 0.2522 Si
0.6667 0.3333 0.7478 Si
```

Computed properties:
Spin magnetization: 0.01 μB/cell
Calculated density: 3.94 g/cm³
Calculated total energy: -6.209 eV per atom
Space-group type: P-3m1 (164)



4.
## Sc2TaBe (GGA-PBE)

Data for an optimized crystal structure of Sc2TaBe.

Cell and atoms, written as POSCAR:
```
Sc2TaBe
1.0
6.5761 0.0000 0.0000
0.0000 6.5761 0.0000
0.0000 0.0000 6.5761
Sc Ta Be
8 4 4
direct
0.0000 0.0000 0.0000 Sc
0.0000 0.5000 0.5000 Sc
0.2500 0.2500 0.2500 Sc
0.2500 0.7500 0.7500 Sc
0.5000 0.0000 0.5000 Sc
0.5000 0.5000 0.0000 Sc
0.7500 0.2500 0.7500 Sc
0.7500 0.7500 0.2500 Sc
0.2500 0.2500 0.7500 Ta
0.2500 0.7500 0.2500 Ta
0.7500 0.2500 0.2500 Ta
0.7500 0.7500 0.7500 Ta
0.0000 0.0000 0.5000 Be
0.0000 0.5000 0.0000 Be
0.5000 0.0000 0.0000 Be
0.5000 0.5000 0.5000 Be
```

Computed properties:
Spin magnetization: 0.02 μB/cell
Calculated density: 6.54 g/cm³
Calculated total energy: -6.673 eV per atom
Space-group type: F-43m (216)